No. 1
Compound: Sb2AsRh
Source: Alexandria via LeMat-Bulk
Functional: PBE
Structure: optimized geometry

## Properties
Formation energy from raw total energies (meV/atom): 172.1
Mass density (Mg/m³): 8.45

Cell lengths 6.2386, 7.6243, 3.5056 Å; angles 90.00, 96.97, 90.00 degrees
Space group C2/m (No. 12)
Symmetry-distinct sites (fractional):
Sb 0.2500 0.2500 0.0000 x4
As 0.0000 0.0000 0.5000 x2
Rh 0.0000 0.5000 0.5000 x2

***

No. 2
Compound: HoRhS
Source: Alexandria via LeMat-Bulk
Functional: PBE
Structure: optimized geometry

## Properties
Formation energy from raw total energies (meV/atom): -893.3
Mass density (Mg/m³): 8.08

Cell lengths 7.4208, 8.8553, 3.7523 Å; angles 90.00, 90.00, 90.00 degrees
Space group Cmmm (No. 65)
Symmetry-distinct sites (fractional):
Ho 0.0000 0.2124 0.0000 x4
Rh 0.1834 0.5000 0.5000 x4
S 0.0000 0.0000 0.5000 x2
S 0.0000 0.5000 0.0000 x2

***

No. 3
Compound: AcErZn2
Source: Alexandria via LeMat-Bulk
Functional: PBE
Structure: optimized geometry

## Properties
Mass density (Mg/m³): 8.45
Energy relative to the elements (eV/atom): -0.27

Cell lengths 3.6982, 3.6982, 7.5443 Å; angles 90.00, 90.00, 90.00 degrees
Space group P4/mmm (No. 123)
Symmetry-distinct sites (fractional):
Ac 0.0000 0.0000 0.0000 x1
Er 0.0000 0.0000 0.5000 x1
Zn 0.5000 0.5000 0.2926 x2

***

No. 4
Compound: AsPb2Au
Source: Alexandria via LeMat-Bulk
Functional: PBE
Structure: optimized geometry

## Properties
Mass density (Mg/m³): 10.46
Energy relative to the elements (eV/atom): -0.02

Cell lengths 7.4180, 4.3343, 7.2328 Å; angles 90.00, 110.51, 90.00 degrees
Space group C2/m (No. 12)
Symmetry-distinct sites (fractional):
As 0.0000 0.0000 0.0000 x2
Pb 0.2488 0.5000 0.2448 x4
Au 0.0000 0.5000 0.5000 x2

***

No. 5
Compound: Ac3Y6Ho2
Source: Alexandria via LeMat-Bulk
Functional: PBE
Structure: optimized geometry

## Properties
Mass density (Mg/m³): 6.49
Energy relative to the elements (eV/atom): 0.09

Cell lengths 6.3084, 6.8026, 20.7321 Å; angles 92.49, 91.31, 117.06 degrees
Space group P-1 (No. 2)
Symmetry-distinct sites (fractional):
Ac 0.0610 0.1005 0.2505 x2
Ac 0.2802 0.5104 0.8018 x2
Ac 0.4076 0.7197 0.3040 x2
Y 0.0023 0.8377 0.0630 x2
Y 0.0327 0.8267 0.4017 x2
Y 0.0548 0.3309 0.4390 x2
Y 0.1263 0.3889 0.0994 x2
Y 0.4324 0.7047 0.6366 x2
Y 0.4606 0.0730 0.8578 x2
Ho 0.4406 0.7234 0.9784 x2
Ho 0.4429 0.2008 0.5230 x2

***

No. 6
Compound: Ga3Au8
Source: Alexandria via LeMat-Bulk
Functional: PBE
Structure: optimized geometry

## Properties
Mass density (Mg/m³): 13.60
Energy relative to the lowest polymorph listed for this composition (meV per atom): 0
Energy relative to the elements (eV/atom): -0.06

Cell lengths 7.0906, 8.9481, 6.8694 Å; angles 90.00, 90.08, 90.00 degrees
Space group C2/m (No. 12)
Symmetry-distinct sites (fractional):
Ga 0.0000 0.0000 0.0000 x2
Ga 0.2500 0.2500 0.5000 x4
Au 0.0005 0.2393 0.7893 x8
Au 0.2134 0.5000 0.2686 x4
Au 0.2139 0.5000 0.7302 x4

***

No. 7
Compound: CdReSi3
Source: Alexandria via LeMat-Bulk
Functional: PBE
Structure: optimized geometry

## Properties
Formation energy from raw total energies (meV/atom): 445.5
Mass density (Mg/m³): 5.94
Energy relative to the lowest polymorph listed for this composition (meV per atom): 0

Cell lengths 4.7483, 4.7483, 4.7483 Å; angles 90.00, 90.00, 90.00 degrees
Space group Pm-3m (No. 221)
Symmetry-distinct sites (fractional):
Cd 0.0000 0.0000 0.0000 x1
Re 0.5000 0.5000 0.5000 x1
Si 0.0000 0.5000 0.5000 x3

***

No. 8
Compound: AgSb2
Source: Alexandria via LeMat-Bulk
Functional: PBE
Structure: optimized geometry

## Properties
Formation energy from raw total energies (meV/atom): 122.2
Mass density (Mg/m³): 7.21

Cell lengths 4.2942, 13.1479, 5.7312 Å; angles 90.00, 90.00, 90.00 degrees
Space group Cmcm (No. 63)
Symmetry-distinct sites (fractional):
Ag 0.0000 0.1520 0.2500 x4
Sb 0.0000 0.1802 0.7500 x4
Sb 0.0000 0.4748 0.2500 x4

***

- What is the mass density in the fourth record?
  10.46 Mg/m³

***

- Among the records above, which one has the highest mass density?
  Ga3Au8

***

- Among the records above, which one has the highest mass density?
  Ga3Au8

***

- What is the mass density in the seventh record?
  5.94 Mg/m³